1.
The following is a DFT calculation (PBE-GGA) of crystalline Ho3Ga3Rh2 at its relaxed geometry.

The spin magnetization is 0.000 μB/f.u. As for the crystal system: orthorhombic. For the formation energy, the calculation gives -18.2 kcal/mol of atoms. The total DFT energy (no corrections) comes out at -5.48 eV/atom. As for the space-group type: No. 62.

```
Ho3Ga3Rh2
1.0
-1.6983 -4.4557 2.7868
-0.4709 -3.9836 -6.6561
14.4569 -4.4750 1.6553
Ga Ho Rh
12 12 8
Direct
0.6015 0.3198 0.4653
0.8701 0.8293 0.7500
0.8985 0.8198 0.0347
0.3701 0.6707 0.2500
0.8985 0.8198 0.4653
0.3985 0.6802 0.9653
0.1015 0.1802 0.9653
0.6299 0.3293 0.7500
0.1015 0.1802 0.5347
0.6015 0.3198 0.0347
0.1299 0.1707 0.2500
0.3985 0.6802 0.5347
0.8853 0.5373 0.8911
0.3853 0.9627 0.3911
0.8710 0.8281 0.2500
0.1147 0.4627 0.1089
0.6147 0.0373 0.8911
0.3710 0.6719 0.7500
0.1147 0.4627 0.3911
0.1290 0.1719 0.7500
0.8853 0.5373 0.6089
0.6290 0.3281 0.2500
0.6147 0.0373 0.6089
0.3853 0.9627 0.1089
0.6273 0.6079 0.1108
0.3727 0.3921 0.6108
0.1273 0.8921 0.6108
0.3727 0.3921 0.8892
0.8727 0.1079 0.1108
0.1273 0.8921 0.8892
0.8727 0.1079 0.3892
0.6273 0.6079 0.3892
```



2.
The following is a DFT calculation (PBE-GGA) of crystalline Ho2Ga9Rh3 at its relaxed geometry.

The spin magnetization is 0.000 μB/f.u. As for the crystal system: monoclinic. For the formation energy, the calculation gives -16.3 kcal/mol of atoms. The total DFT energy (no corrections) comes out at -4.88 eV/atom. As for the space-group type: No. 15.

```
Ho2Ga9Rh3
1.0
6.9766 -0.0277 -2.9250
-4.1036 6.3552 -0.0122
0.3078 0.2158 10.4553
Ho Ga Rh
4 18 6
Direct
0.3352 0.2485 0.7494
0.9991 0.5858 0.7506
0.6648 0.7515 0.2506
0.0009 0.4142 0.2494
0.7816 0.3071 0.9210
0.8799 0.1299 0.7500
0.1139 0.1394 0.4210
0.2189 0.5254 0.5792
0.8759 0.0207 0.0662
0.5538 0.3603 0.0792
0.1201 0.8701 0.2500
0.1241 0.9793 0.9338
0.6700 0.7100 0.7516
0.3300 0.2900 0.2484
0.2184 0.6929 0.0790
0.5415 0.0815 0.2516
0.8861 0.8606 0.5790
0.7811 0.4746 0.4208
0.4462 0.6397 0.9208
0.4545 0.8097 0.4338
0.5455 0.1903 0.5662
0.4585 0.9185 0.7484
0.1721 0.3424 0.0007
0.8417 0.1714 0.4993
0.5000 0.0000 0.0000
0.1583 0.8286 0.5007
0.8279 0.6576 0.9993
0.5000 0.5000 0.5000
```



3.
The following is a DFT calculation (PBE-GGA) of crystalline Ho2Ga8Rh at its relaxed geometry.

The spin magnetization is 0.000 μB/f.u. As for the crystal system: tetragonal. For the formation energy, the calculation gives -12.8 kcal/mol of atoms. The total DFT energy (no corrections) comes out at -4.26 eV/atom. As for the space-group type: No. 123.

```
Ho2Ga8Rh
1.0
4.2961 0.0000 0.0000
0.0000 4.2961 0.0000
0.0000 0.0000 11.1291
Ga Ho Rh
8 2 1
Direct
0.0000 0.5000 0.5000
0.5000 0.0000 0.8779
0.5000 0.0000 0.5000
0.5000 0.0000 0.1221
0.0000 0.5000 0.1221
0.0000 0.5000 0.8779
0.5000 0.5000 0.3073
0.5000 0.5000 0.6927
0.0000 0.0000 0.6910
0.0000 0.0000 0.3090
0.0000 0.0000 0.0000
```



4.
The following is a DFT calculation (PBE-GGA) of crystalline Ho3Ga9Rh2 at its relaxed geometry.

The spin magnetization is 0.000 μB/f.u. As for the crystal system: orthorhombic. For the formation energy, the calculation gives -15.5 kcal/mol of atoms. The total DFT energy (no corrections) comes out at -4.65 eV/atom. As for the space-group type: No. 71.

```
Ho3Ga9Rh2
1.0
-3.7863 1.7693 0.8127
-2.2863 -3.0461 7.1323
1.4259 5.5574 5.6971
Ho Ga Rh
3 9 2
Direct
0.2994 0.7006 0.7006
0.7006 0.2994 0.2994
0.0000 0.0000 0.0000
0.8653 0.4167 0.8528
0.8653 0.8528 0.4167
0.6540 0.7105 0.9815
0.1347 0.1472 0.5833
0.6540 0.9815 0.7105
0.0000 0.5000 0.5000
0.3460 0.2895 0.0185
0.1347 0.5833 0.1472
0.3460 0.0185 0.2895
0.5000 0.6766 0.3234
0.5000 0.3234 0.6766
```



5.
The following is a DFT calculation (PBE-GGA) of crystalline HoGaRh2 at its relaxed geometry.

The spin magnetization is 0.000 μB/f.u. As for the crystal system: tetragonal. For the formation energy, the calculation gives -19.4 kcal/mol of atoms. The total DFT energy (no corrections) comes out at -6.42 eV/atom. As for the space-group type: No. 123.

```
HoGaRh2
1.0
3.5061 0.0000 0.0000
0.0000 4.3546 0.0000
0.0000 0.0000 4.3546
Rh Ga Ho
2 1 1
Direct
0.0000 0.5000 0.0000
0.0000 0.0000 0.5000
0.5000 0.0000 0.0000
0.5000 0.5000 0.5000
```



6.
The following is a DFT calculation (PBE-GGA) of crystalline Ho8GaRh2 at its relaxed geometry.

The spin magnetization is 0.000 μB/f.u. As for the crystal system: monoclinic. For the formation energy, the calculation gives -8.7 kcal/mol of atoms. The total DFT energy (no corrections) comes out at -5.32 eV/atom. As for the space-group type: No. 8.

```
Ho8GaRh2
1.0
-2.5158 4.8418 0.0699
1.8722 -0.2010 -7.5869
-6.1207 -4.4906 1.8649
Rh Ho Ga
2 8 1
Direct
0.4989 0.3080 0.6983
0.4989 0.6983 0.3080
0.1901 0.3849 0.3849
0.9984 0.7650 0.2387
0.4134 0.6721 0.9274
0.5785 0.0788 0.3338
0.5785 0.3338 0.0788
0.4134 0.9274 0.6721
0.8085 0.6241 0.6241
0.9984 0.2387 0.7650
0.0224 0.0028 0.0028
```



7.
The following is a DFT calculation (PBE-GGA) of crystalline Ho2Ga4Rh5 at its relaxed geometry.

The spin magnetization is 0.000 μB/f.u. As for the crystal system: orthorhombic. For the formation energy, the calculation gives -16.9 kcal/mol of atoms. The total DFT energy (no corrections) comes out at -6.01 eV/atom. As for the space-group type: No. 69.

```
Ho2Ga4Rh5
1.0
-2.0418 0.5891 5.2894
-5.3075 -0.9588 1.1296
0.5604 -6.8081 4.0461
Rh Ga Ho
5 4 2
Direct
0.5000 0.0000 0.0000
0.5000 0.5000 0.0000
0.2500 0.5000 0.5000
0.0000 0.5000 0.0000
0.7500 0.5000 0.5000
0.5261 0.6862 0.2617
0.7878 0.6862 0.7383
0.2122 0.3138 0.2617
0.4739 0.3138 0.7383
0.1205 0.0000 0.7590
0.8795 0.0000 0.2410
```



8.
The following is a DFT calculation (PBE-GGA) of crystalline Ho11Ga9Rh4 at its relaxed geometry.

The spin magnetization is 0.000 μB/f.u. As for the crystal system: orthorhombic. For the formation energy, the calculation gives -16.7 kcal/mol of atoms. The total DFT energy (no corrections) comes out at -5.18 eV/atom. As for the space-group type: No. 65.

```
Ho11Ga9Rh4
1.0
-1.1918 1.8310 -2.8724
-11.0987 -5.6235 1.0201
0.5955 10.6254 6.5262
Ho Ga Rh
11 9 4
Direct
0.0000 0.3072 0.3072
0.0000 0.0000 0.0000
0.0000 0.6274 0.3726
0.0000 0.6928 0.6928
0.0000 0.0694 0.4119
0.0000 0.3726 0.6274
0.0000 0.5881 0.9306
0.0000 0.9306 0.5881
0.0000 0.4119 0.0694
0.0000 0.1674 0.8326
0.0000 0.8326 0.1674
0.5000 0.2158 0.0753
0.5000 0.1627 0.6302
0.5000 0.9247 0.7842
0.5000 0.8373 0.3698
0.5000 0.6302 0.1627
0.5000 0.7842 0.9247
0.5000 0.5000 0.5000
0.5000 0.0753 0.2158
0.5000 0.3698 0.8373
0.5000 0.5534 0.7566
0.5000 0.2434 0.4466
0.5000 0.7566 0.5534
0.5000 0.4466 0.2434
```



9.
The following is a DFT calculation (PBE-GGA) of crystalline Ho2Ga5Rh3 at its relaxed geometry.

The spin magnetization is 0.000 μB/f.u. As for the crystal system: orthorhombic. The value obtained for the energy relative to the lowest polymorph listed for this composition is 0.00 eV/f.u. For the formation energy, the calculation gives -18.5 kcal/mol of atoms. The total DFT energy (no corrections) comes out at -5.44 eV/atom. As for the space-group type: No. 72.

```
Ho2Ga5Rh3
1.0
5.6459 0.0000 0.0000
2.8230 8.0930 0.4534
2.8230 1.6963 7.9262
Ga Ho Rh
10 4 6
Direct
0.5850 0.7343 0.0958
0.5496 0.2004 0.2004
0.4150 0.2657 0.9042
0.4504 0.7996 0.7996
0.0850 0.0958 0.7343
0.9150 0.9042 0.2657
0.7500 0.5000 0.5000
0.9504 0.7996 0.7996
0.2500 0.5000 0.5000
0.0496 0.2004 0.2004
0.1435 0.5820 0.1310
0.3565 0.8690 0.4180
0.8565 0.4180 0.8690
0.6435 0.1310 0.5820
0.6515 0.4337 0.2633
0.8485 0.7367 0.5663
0.3485 0.5663 0.7367
0.2500 0.0000 0.0000
0.1515 0.2633 0.4337
0.7500 0.0000 0.0000
```



10.
The following is a DFT calculation (PBE-GGA) of crystalline HoGa2Rh at its relaxed geometry.

The spin magnetization is 0.000 μB/f.u. As for the crystal system: cubic. For the formation energy, the calculation gives -14.5 kcal/mol of atoms. The total DFT energy (no corrections) comes out at -5.12 eV/atom. As for the space-group type: No. 225.

```
HoGa2Rh
1.0
-0.8367 -2.9739 3.4307
3.1876 -0.7178 3.2615
-0.6942 1.5600 4.2893
Ga Rh Ho
2 1 1
Direct
0.7500 0.7500 0.7500
0.2500 0.2500 0.2500
0.5000 0.5000 0.5000
0.0000 0.0000 0.0000
```



11.
The following is a DFT calculation (PBE-GGA) of crystalline HoGa2Rh at its relaxed geometry.

The spin magnetization is 0.000 μB/f.u. As for the crystal system: trigonal. For the formation energy, the calculation gives -16.0 kcal/mol of atoms. The total DFT energy (no corrections) comes out at -5.19 eV/atom. As for the space-group type: No. 166.

```
HoGa2Rh
1.0
4.2118 0.0000 0.0000
2.1059 3.6475 0.0000
2.1059 1.2158 4.9314
Ga Rh Ho
2 1 1
Direct
0.7176 0.7176 0.8471
0.2824 0.2824 0.1529
0.0000 0.0000 0.0000
0.5000 0.5000 0.5000
```



12.
The following is a DFT calculation (PBE-GGA) of crystalline Ho3Ga4Rh2 at its relaxed geometry.

The spin magnetization is 0.000 μB/f.u. As for the crystal system: monoclinic. The value obtained for the energy relative to the lowest polymorph listed for this composition is 0.00 eV/f.u. For the formation energy, the calculation gives -18.1 kcal/mol of atoms. The total DFT energy (no corrections) comes out at -5.29 eV/atom. As for the space-group type: No. 12.

```
Ho3Ga4Rh2
1.0
-1.3531 -3.3640 -2.3580
1.7178 -5.0264 2.2182
-6.3022 -3.1803 4.1868
Ga Rh Ho
4 2 3
Direct
0.7248 0.6168 0.9335
0.0212 0.3174 0.6402
0.2752 0.3832 0.0665
0.9788 0.6826 0.3598
0.4047 0.9273 0.2633
0.5953 0.0727 0.7367
0.3139 0.7345 0.6377
0.0000 0.0000 0.0000
0.6861 0.2655 0.3623
```



13.
The following is a DFT calculation (PBE-GGA) of crystalline Ho2Ga3Rh4 at its relaxed geometry.

The spin magnetization is 0.000 μB/f.u. As for the crystal system: orthorhombic. For the formation energy, the calculation gives -20.1 kcal/mol of atoms. The total DFT energy (no corrections) comes out at -6.17 eV/atom. As for the space-group type: No. 64.

```
Ho2Ga3Rh4
1.0
-1.0068 3.0771 4.6184
-1.9772 -6.1094 3.6395
7.5478 -2.5158 -0.1225
Ga Rh Ho
6 8 4
Direct
0.5000 0.5000 0.0000
0.9779 0.2500 0.4558
0.4779 0.2500 0.4558
0.0000 0.0000 0.0000
0.0221 0.7500 0.5442
0.5221 0.7500 0.5442
0.8098 0.2500 0.1196
0.8215 0.0235 0.6430
0.6785 0.5235 0.3570
0.1785 0.9765 0.3570
0.6902 0.7500 0.8804
0.1902 0.7500 0.8804
0.3098 0.2500 0.1196
0.3215 0.4765 0.6430
0.3921 0.0829 0.7842
0.6079 0.9171 0.2158
0.8921 0.4171 0.7842
0.1079 0.5829 0.2158
```



14.
The following is a DFT calculation (PBE-GGA) of crystalline Ho2Ga5Ru2Rh at its relaxed geometry.

The spin magnetization is 0.000 μB/f.u. As for the crystal system: tetragonal. For the formation energy, the calculation gives -10.5 kcal/mol of atoms. The total DFT energy (no corrections) comes out at -5.47 eV/atom. As for the space-group type: No. 127.

```
Ho2Ga5Ru2Rh
1.0
3.1822 0.0000 0.0000
0.0000 10.4930 0.0000
0.0000 0.0000 10.4930
Ga Ru Ho Rh
10 4 4 2
Direct
0.5000 0.0540 0.8092
0.5000 0.1908 0.0540
0.5000 0.9460 0.1908
0.5000 0.0000 0.5000
0.5000 0.5540 0.6908
0.5000 0.8092 0.9460
0.5000 0.5000 0.0000
0.5000 0.3092 0.5540
0.5000 0.6908 0.4460
0.5000 0.4460 0.3092
0.0000 0.8711 0.3711
0.0000 0.1289 0.6289
0.0000 0.3711 0.1289
0.0000 0.6289 0.8711
0.0000 0.3180 0.8180
0.0000 0.6820 0.1820
0.0000 0.1820 0.3180
0.0000 0.8180 0.6820
0.0000 0.5000 0.5000
0.0000 0.0000 0.0000
```



15.
The following is a DFT calculation (PBE-GGA) of crystalline HoSc2GaRh4 at its relaxed geometry.

The spin magnetization is 0.000 μB/f.u. As for the crystal system: trigonal. For the formation energy, the calculation gives -21.3 kcal/mol of atoms. The total DFT energy (no corrections) comes out at -7.13 eV/atom. As for the space-group type: No. 166.

```
HoSc2GaRh4
1.0
-3.5570 1.4595 -2.4388
-4.1629 -1.6423 0.8387
-3.7312 5.4082 4.4285
Sc Rh Ho Ga
2 4 1 1
Direct
0.2433 0.2433 0.2702
0.7567 0.7567 0.7298
0.8733 0.8733 0.3802
0.3801 0.3801 0.8597
0.1267 0.1267 0.6198
0.6199 0.6199 0.1403
0.0000 0.0000 0.0000
0.5000 0.5000 0.5000
```



16.
The following is a DFT calculation (PBE-GGA) of crystalline HoScGaRh at its relaxed geometry.

The spin magnetization is 0.000 μB/f.u. As for the crystal system: cubic. For the formation energy, the calculation gives -16.4 kcal/mol of atoms. The total DFT energy (no corrections) comes out at -6.03 eV/atom. As for the space-group type: No. 216.

```
HoScGaRh
1.0
4.8106 0.0000 0.0000
2.4053 4.1661 0.0000
2.4053 1.3887 3.9279
Sc Ga Rh Ho
1 1 1 1
Direct
0.5000 0.5000 0.5000
0.2500 0.2500 0.2500
0.7500 0.7500 0.7500
0.0000 0.0000 0.0000
```



17.
The following is a DFT calculation (PBE-GGA) of crystalline Ho2GaSi3Rh4 at its relaxed geometry.

The spin magnetization is 0.000 μB/f.u. As for the crystal system: tetragonal. The total DFT energy (no corrections) comes out at -6.80 eV/atom. For the uncorrected formation energy, the calculation gives -23.34 kcal/mol of atoms. As for the space-group type: No. 115.

```
Ho2GaSi3Rh4
1.0
-1.3498 -0.3976 3.8907
-2.2495 -3.2880 -1.1164
7.6100 -5.8982 2.0374
Ho Ga Rh Si
2 1 4 3
Direct
0.0000 0.5000 0.7482
0.5000 0.0000 0.2518
0.5000 0.5000 0.5000
0.5000 0.5000 0.0000
0.0000 0.0000 0.0000
0.0000 0.5000 0.3643
0.5000 0.0000 0.6357
0.0000 0.0000 0.5000
0.5000 0.0000 0.8722
0.0000 0.5000 0.1278
```



18.
The following is a DFT calculation (PBE-GGA) of crystalline Ho2GaSi4Rh3 at its relaxed geometry.

The spin magnetization is 0.000 μB/f.u. As for the crystal system: tetragonal. The total DFT energy (no corrections) comes out at -6.48 eV/atom. For the uncorrected formation energy, the calculation gives -20.55 kcal/mol of atoms. As for the space-group type: No. 115.

```
Ho2GaSi4Rh3
1.0
4.0712 0.0000 0.0000
0.0000 4.0712 0.0000
0.0000 0.0000 10.1566
Si Ga Ho Rh
4 1 2 3
Direct
0.5000 0.5000 0.0000
0.5000 0.0000 0.6455
0.0000 0.0000 0.0000
0.0000 0.5000 0.3545
0.5000 0.5000 0.5000
0.0000 0.5000 0.7582
0.5000 0.0000 0.2418
0.5000 0.0000 0.8757
0.0000 0.0000 0.5000
0.0000 0.5000 0.1243
```



19.
The following is a DFT calculation (PBE-GGA) of crystalline HoGa2SiRh4 at its relaxed geometry.

The spin magnetization is 0.000 μB/f.u. As for the crystal system: trigonal. The total DFT energy (no corrections) comes out at -6.47 eV/atom. For the uncorrected formation energy, the calculation gives -18.26 kcal/mol of atoms. As for the space-group type: No. 166.

```
HoGa2SiRh4
1.0
-1.6056 2.4167 -3.2311
1.6415 -0.3612 -4.0042
-4.9866 -4.7230 -3.9729
Ga Rh Si Ho
2 4 1 1
Direct
0.2501 0.2501 0.2496
0.7499 0.7499 0.7504
0.3962 0.3962 0.8114
0.8674 0.8674 0.3979
0.6038 0.6038 0.1886
0.1326 0.1326 0.6021
0.5000 0.5000 0.5000
0.0000 0.0000 0.0000
```



| no. | density (Mg/m³) |
| --- | --- |
| 1 | 9.2 |
| 2 | 8.9 |
| 3 | 8.0 |
| 4 | 8.8 |
| 5 | 11.0 |
| 6 | 9.0 |
| 7 | 9.4 |
| 8 | 9.1 |
| 9 | 9.2 |
| 10 | 9.7 |
| 11 | 8.9 |
| 12 | 9.2 |
| 13 | 10.2 |
| 14 | 9.3 |
| 15 | 9.1 |
| 16 | 8.1 |
| 17 | 8.8 |
| 18 | 8.1 |
| 19 | 10.0 |